Record 1
A relaxed La2CdIn crystal. Source: Alexandria via LeMat-Bulk, functional PBEsol.

Lattice parameters (Å, degrees): 3.4633 4.5399 7.2074 90.00 90.00 90.00
Last column: nearest neighbours and their distance in Å.
Sites, in units of the cell vectors:
1 In 0.5000 0.5000 0.5000  8 La 3.37, 2 In 3.46, 2 Cd 3.60
2 La 0.0000 0.0000 0.7484  4 In 3.37, 4 Cd 3.38, 4 La 3.46-3.63
3 La 0.0000 0.0000 0.2516  4 In 3.37, 4 Cd 3.38, 4 La 3.46-3.63
4 Cd 0.5000 0.5000 0.0000  8 La 3.38, 2 Cd 3.46, 2 In 3.60

crystal system	orthorhombic
symmetry	No. 47
formation energy from the elements	-0.42	eV/atom

=====

Record 2
A relaxed Tl2As crystal. Source: Alexandria via LeMat-Bulk, functional PBEsol.

Lattice parameters (Å, degrees): 4.2413 4.2413 5.2634 90.00 90.00 120.00
Last column: nearest neighbours and their distance in Å.
Sites, in units of the cell vectors:
1 Tl 0.3333 0.6667 0.2877  3 As 2.88
2 Tl 0.6667 0.3333 0.7123  3 As 2.88
3 As 0.0000 0.0000 0.0000  6 Tl 2.88

crystal system	trigonal
symmetry	No. 164
formation energy from the elements	0.07	eV/atom

=====

Record 3
A relaxed RhI2NCl crystal. Source: Alexandria via LeMat-Bulk, functional PBEsol.

Lattice parameters (Å, degrees): 3.2993 5.7669 5.7669 90.00 90.00 90.00
Last column: nearest neighbours and their distance in Å.
Sites, in units of the cell vectors:
1 I 0.0000 0.0000 0.5000  2 Cl 2.88
2 I 0.0000 0.5000 0.0000  2 Cl 2.88
3 N 0.5000 0.0000 0.0000  2 Cl 1.65
4 Rh 0.5000 0.5000 0.5000  2 Rh 3.30, 8 I 3.32
5 Cl 0.0000 0.0000 0.0000  2 N 1.65

crystal system	tetragonal
final energy	-2.84	eV/atom
symmetry	No. 123

=====

Record 4
A relaxed KLi2Mg crystal. Source: Alexandria via LeMat-Bulk, functional PBEsol.

Lattice parameters (Å, degrees): 4.9747 4.9747 11.4565 102.54 102.54 90.00
Last column: nearest neighbours and their distance in Å.
Sites, in units of the cell vectors:
1 K 0.2500 0.7500 0.5000  4 Li 3.44, 4 Mg 3.52
2 K 0.0000 0.0000 0.0000  4 Li 3.44, 4 Mg 3.52
3 Mg 0.7500 0.2500 0.5000  4 Li 3.10
4 Mg 0.5000 0.5000 0.0000  4 Li 3.10
5 Li 0.4642 0.8750 0.2500  2 Li 2.96, 2 Mg 3.10
6 Li 0.7858 0.3750 0.2500  2 Li 2.96, 2 Mg 3.10
7 Li 0.1250 0.2142 0.7500  2 Li 2.96, 2 Mg 3.10
8 Li 0.6250 0.5358 0.7500  2 Li 2.96, 2 Mg 3.10

crystal system	tetragonal
symmetry	No. 122
formation energy from the elements	0.28	eV/atom

=====

Record 5
A relaxed GePBr2 crystal. Source: Alexandria via LeMat-Bulk, functional PBEsol.

Lattice parameters (Å, degrees): 6.2394 6.2394 6.2394 104.95 104.95 118.96
Last column: nearest neighbours and their distance in Å.
Sites, in units of the cell vectors:
1 P 0.5000 0.5000 0.0000  4 Br 2.76
2 P 0.7500 0.2500 0.5000  4 Br 2.76
3 Ge 0.0000 0.0000 0.0000  4 Br 2.84, 2 P 3.17
4 Ge 0.2500 0.7500 0.5000  4 Br 2.84, 2 P 3.17
5 Br 0.8673 0.8750 0.4923  2 P 2.76, 2 Ge 2.84
6 Br 0.3827 0.3750 0.5077  2 P 2.76, 2 Ge 2.84
7 Br 0.1250 0.6173 0.9923  2 P 2.76, 2 Ge 2.84
8 Br 0.6250 0.1327 0.0077  2 P 2.76, 2 Ge 2.84

crystal system	tetragonal
final energy	-3.17	eV/atom
symmetry	No. 122

=====

Record 6
A relaxed YGa3Ru crystal. Source: Alexandria via LeMat-Bulk, functional PBEsol.

Lattice parameters (Å, degrees): 6.3361 6.3361 6.3361 90.00 90.00 90.00
Last column: nearest neighbours and their distance in Å.
Sites, in units of the cell vectors:
1 Y 0.5000 0.5000 0.0000  10 Ga 2.92-3.17, 4 Ru 3.17
2 Y 0.5000 0.0000 0.5000  10 Ga 2.92-3.17, 4 Ru 3.17
3 Y 0.0000 0.5000 0.5000  10 Ga 2.92-3.17, 4 Ru 3.17
4 Ga 0.5000 0.5000 0.5000  6 Y 3.17, 8 Ga 3.18
5 Ga 0.2100 0.2100 0.7900  3 Ru 2.63, 3 Ga 2.66, 3 Y 2.92
6 Ga 0.2100 0.7900 0.2100  3 Ru 2.63, 3 Ga 2.66, 3 Y 2.92
7 Ga 0.7900 0.2100 0.2100  3 Ru 2.63, 3 Ga 2.66, 3 Y 2.92
8 Ga 0.7900 0.7900 0.7900  3 Ru 2.63, 3 Ga 2.66, 3 Y 2.92
9 Ga 0.7900 0.7900 0.2100  3 Ru 2.63, 3 Ga 2.66, 3 Y 2.92
10 Ga 0.7900 0.2100 0.7900  3 Ru 2.63, 3 Ga 2.66, 3 Y 2.92
11 Ga 0.2100 0.7900 0.7900  3 Ru 2.63, 3 Ga 2.66, 3 Y 2.92
12 Ga 0.2100 0.2100 0.2100  3 Ru 2.63, 3 Ga 2.66, 3 Y 2.92
13 Ru 0.0000 0.0000 0.5000  8 Ga 2.63
14 Ru 0.0000 0.5000 0.0000  8 Ga 2.63
15 Ru 0.5000 0.0000 0.0000  8 Ga 2.63

crystal system	cubic
symmetry	No. 221
formation energy from the elements	-0.62	eV/atom

=====

Record 7
A relaxed ZrAgHg crystal. Source: Alexandria via LeMat-Bulk, functional PBEsol.

Lattice parameters (Å, degrees): 3.1494 3.1494 6.2559 104.58 104.58 90.00
Last column: nearest neighbours and their distance in Å.
Sites, in units of the cell vectors:
1 Ag 0.9976 0.9976 0.9951  4 Hg 2.90, 4 Zr 2.96, 4 Ag 3.15
2 Hg 0.3381 0.3381 0.6762  4 Ag 2.90, 4 Zr 3.01, 4 Hg 3.15
3 Zr 0.6644 0.6644 0.3287  4 Ag 2.96, 4 Hg 3.01, 4 Zr 3.15

crystal system	tetragonal
symmetry	No. 107
formation energy from the elements	-0.13	eV/atom

=====

Record 8
A relaxed CaPtC3 crystal. Source: Alexandria via LeMat-Bulk, functional PBEsol.

Lattice parameters (Å, degrees): 4.1510 4.1510 4.1510 90.00 90.00 90.00
Last column: nearest neighbours and their distance in Å.
Sites, in units of the cell vectors:
1 Ca 0.0000 0.0000 0.0000  6 C 2.08
2 C 0.0000 0.5000 0.0000  2 Ca 2.08
3 C 0.0000 0.0000 0.5000  2 Ca 2.08
4 C 0.5000 0.0000 0.0000  2 Ca 2.08
5 Pt 0.5000 0.5000 0.5000  12 C 2.94

crystal system	cubic
symmetry	No. 221
formation energy from the elements	3.61	eV/atom

=====

Record 9
A relaxed NiAgAs2 crystal. Source: Alexandria via LeMat-Bulk, functional PBEsol.

Lattice parameters (Å, degrees): 3.1395 4.5015 4.5015 100.75 90.00 90.00
Last column: nearest neighbours and their distance in Å.
Sites, in units of the cell vectors:
1 Ag 0.5000 0.5000 0.5000  8 As 2.74, 2 Ni 2.87
2 As 0.0000 0.5000 0.0000  4 Ag 2.74, 4 Ni 2.74, 2 As 2.87
3 As 0.0000 0.0000 0.5000  4 Ni 2.74, 4 Ag 2.74, 2 As 2.87
4 Ni 0.5000 0.0000 0.0000  8 As 2.74, 2 Ag 2.87

crystal system	orthorhombic
symmetry	No. 65
formation energy from the elements	0.19	eV/atom

=====

Record 10
A relaxed Sr3MnAs crystal. Source: Alexandria via LeMat-Bulk, functional PBEsol.

Lattice parameters (Å, degrees): 5.8991 5.8991 5.8991 90.00 90.00 90.00
Last column: nearest neighbours and their distance in Å.
Sites, in units of the cell vectors:
1 Sr 0.0000 0.5000 0.0000  2 As 2.95
2 Sr 0.0000 0.0000 0.5000  2 As 2.95
3 Sr 0.5000 0.0000 0.0000  2 As 2.95
4 As 0.0000 0.0000 0.0000  6 Sr 2.95
5 Mn 0.5000 0.5000 0.5000  12 Sr 4.17

crystal system	cubic
symmetry	No. 221
formation energy from the elements	0.05	eV/atom

=====

Record 11
A relaxed Sm3Hg crystal. Source: Alexandria via LeMat-Bulk, functional PBEsol.

Lattice parameters (Å, degrees): 4.7026 4.7026 5.9317 113.35 113.35 90.00
Last column: nearest neighbours and their distance in Å.
Sites, in units of the cell vectors:
1 Hg 0.0000 0.0000 0.0000  12 Sm 3.33-3.40
2 Sm 0.2500 0.7500 0.5000  8 Sm 3.33-3.40, 4 Hg 3.40
3 Sm 0.7500 0.2500 0.5000  8 Sm 3.33-3.40, 4 Hg 3.40
4 Sm 0.5000 0.5000 0.0000  4 Hg 3.33, 8 Sm 3.40

crystal system	tetragonal
symmetry	No. 139
formation energy from the elements	-0.22	eV/atom

=====

Record 12
A relaxed Hf3InCo crystal. Source: Alexandria via LeMat-Bulk, functional PBEsol.

Lattice parameters (Å, degrees): 5.1004 5.1004 5.1004 90.00 90.00 90.00
Last column: nearest neighbours and their distance in Å.
Sites, in units of the cell vectors:
1 Co 0.5000 0.5000 0.5000  12 Hf 3.61
2 Hf 0.0000 0.5000 0.0000  2 In 2.55
3 Hf 0.0000 0.0000 0.5000  2 In 2.55
4 Hf 0.5000 0.0000 0.0000  2 In 2.55
5 In 0.0000 0.0000 0.0000  6 Hf 2.55

crystal system	cubic
symmetry	No. 221
formation energy from the elements	1.80	eV/atom